Below is an optimized crystal structure of NbCoW2, with properties calculated at the PBE level.

a = 4.437 Å, b = 4.437 Å, c = 4.437 Å
α = 60.00°, β = 60.00°, γ = 60.00°
Fractional coordinates of all 4 atoms:
Co  0.250  0.250  0.250
Nb  0.500  0.500  0.500
W  0.000  0.000  0.000
W  0.750  0.750  0.750

Summary:
total DFT energy (no corrections): -10.66 eV/atom
E_form: 0.119 eV per atom
calculated volume: 62 Å³ per cell
spin magnetization: 1.79 μB per formula unit



Below is an optimized crystal structure of SrSm2Ga2Ni4, with properties calculated at the PBE level.

a = 5.600 Å, b = 5.600 Å, c = 8.196 Å
α = 98.83°, β = 98.83°, γ = 43.37°
Fractional coordinates of all 9 atoms:
Sm  0.622  0.622  0.382
Sm  0.378  0.378  0.618
Sr  0.000  0.000  0.000
Ni  0.259  0.259  0.912
Ni  0.741  0.741  0.088
Ni  0.088  0.088  0.627
Ni  0.912  0.912  0.373
Ga  0.318  0.318  0.222
Ga  0.682  0.682  0.778

Summary:
total DFT energy (no corrections): -4.84 eV/atom
calculated volume: 174 Å³ per cell
spin magnetization: 0.00 μB per formula unit



Below is an optimized crystal structure of TbErTl4, with properties calculated at the PBE level.

a = 4.670 Å, b = 7.658 Å, c = 7.658 Å
α = 35.65°, β = 90.00°, γ = 90.00°
Fractional coordinates of all 6 atoms:
Tl  0.500  0.000  0.000
Tl  0.500  0.324  0.324
Tl  0.500  0.676  0.676
Tl  0.000  0.500  0.500
Tb  0.000  0.845  0.845
Er  0.000  0.155  0.155

Summary:
total DFT energy (no corrections): -3.37 eV/atom
calculated volume: 160 Å³ per cell
spin magnetization: 0.01 μB per formula unit



Q: What is the formula in the third record?
A: TbErTl4



Q: What is the spin magnetization in the second record?
A: 0.00 μB per formula unit